First-principles (PBE) data for ScHgAu2 after structural relaxation, as listed in the Alexandria database.

a = 3.461 Å, b = 3.461 Å, c = 7.515 Å
α = 62.59°, β = 90.00°, γ = 90.00°
Atoms (fractional coordinates):
1 Hg 0.500 0.250 0.250
2 Sc 0.500 0.750 0.750
3 Au 0.000 0.480 0.520
4 Au 0.000 0.020 0.980

Output
Energy relative to the elements, eV per formula unit: -1.96



First-principles (PBE) data for BiPd3 after structural relaxation, as listed in the Alexandria database.

a = 4.663 Å, b = 4.663 Å, c = 4.663 Å
α = 60.00°, β = 60.00°, γ = 60.00°
Atoms (fractional coordinates):
1 Pd 0.500 0.500 0.500
2 Pd 0.250 0.250 0.250
3 Bi 0.750 0.750 0.750
4 Pd 0.000 0.000 0.000

Output
Energy relative to the elements, eV per formula unit: -0.90



First-principles (PBE) data for ZnFe2Au after structural relaxation, as listed in the Alexandria database.

a = 3.049 Å, b = 3.049 Å, c = 5.989 Å
α = 90.00°, β = 90.00°, γ = 90.00°
Atoms (fractional coordinates):
1 Zn 0.000 0.000 0.474
2 Fe 0.000 0.000 0.037
3 Fe 0.500 0.500 0.235
4 Au 0.500 0.500 0.754

Output
Energy relative to the elements, eV per formula unit: 0.08



no.,calculated volume (Å³/f.u.)
1,79.9
2,71.7
3,55.7